Record 1
DFT (PBE) results for BaEr3B4S12 after structural relaxation.

Lattice parameters (Å, degrees): 12.6406 12.6406 10.6342 90.00 90.00 120.00
Space group R32 (No. 155, hexagonal axes)
One atom of each set of equivalent atoms:
1 Ba 0.0000 0.0000 0.0000 [3 per cell]
2 Er 0.0000 0.5410 0.0000 [9 per cell]
3 B 0.0000 0.0000 0.5000 [3 per cell]
4 B 0.0000 0.4562 0.5000 [9 per cell]
5 S 0.0000 0.6010 0.5000 [9 per cell]
6 S 0.0000 0.8562 0.5000 [9 per cell]
7 S 0.0151 0.2034 0.1874 [18 per cell]

---

Record 2
DFT (PBE) results for BaErBSe4 after structural relaxation.

Lattice parameters (Å, degrees): 6.4831 6.7370 8.6502 90.00 107.86 90.00
Space group P2_1/m (No. 11)
One atom of each set of equivalent atoms:
1 Ba 0.2267 0.2500 0.4302 [2 per cell]
2 Er 0.2665 0.2500 0.9460 [2 per cell]
3 B 0.2875 0.7500 0.1800 [2 per cell]
4 Se 0.0972 0.7500 0.9382 [2 per cell]
5 Se 0.1012 0.7500 0.3419 [2 per cell]
6 Se 0.4929 0.5060 0.2213 [4 per cell]

---

Record 3
DFT (PBE) results for Ba3BF after structural relaxation.

Lattice parameters (Å, degrees): 5.3842 5.3842 5.3842 90.00 90.00 90.00
Space group Pm-3m (No. 221)
One atom of each set of equivalent atoms:
1 Ba 0.0000 0.0000 0.5000 [3 per cell]
2 B 0.5000 0.5000 0.5000 [1 per cell]
3 F 0.0000 0.0000 0.0000 [1 per cell]

---

Record 4
DFT (PBE) results for BaBF2 after structural relaxation.

Lattice parameters (Å, degrees): 6.5198 6.5198 6.5198 90.00 90.00 90.00
Space group Fm-3m (No. 225)
One atom of each set of equivalent atoms:
1 Ba 0.0000 0.0000 0.0000 [4 per cell]
2 B 0.0000 0.0000 0.5000 [4 per cell]
3 F 0.2500 0.2500 0.2500 [8 per cell]

---

Record 5
DFT (PBE) results for BaBF2 after structural relaxation.

Lattice parameters (Å, degrees): 4.3851 4.3851 17.2733 90.00 90.00 120.00
Space group R-3m (No. 166, hexagonal axes)
One atom of each set of equivalent atoms:
1 Ba 0.0000 0.0000 0.0000 [3 per cell]
2 B 0.0000 0.0000 0.5000 [3 per cell]
3 F 0.0000 0.0000 0.3788 [6 per cell]

---

Record 6
DFT (PBE) results for BaBF6 after structural relaxation.

Lattice parameters (Å, degrees): 5.0914 5.0914 13.8520 90.00 90.00 120.00
Space group R-3m (No. 166, hexagonal axes)
One atom of each set of equivalent atoms:
1 Ba 0.0000 0.0000 0.0000 [3 per cell]
2 B 0.0000 0.0000 0.5000 [3 per cell]
3 F 0.0359 0.5179 0.0991 [18 per cell]

---

Record 7
DFT (PBE) results for BaB3F12 after structural relaxation.

Lattice parameters (Å, degrees): 9.7391 9.7391 6.4307 90.00 90.00 120.00
Space group P6_3/m (No. 176)
One atom of each set of equivalent atoms:
1 Ba 0.3333 0.6667 0.2500 [2 per cell]
2 B 0.1021 0.7146 0.7500 [6 per cell]
3 F 0.0208 0.4460 0.2500 [6 per cell]
4 F 0.0376 0.8149 0.7500 [6 per cell]
5 F 0.1974 0.7446 0.5702 [12 per cell]

---

Record 8
DFT (PBE) results for BaBF3 after structural relaxation.

Lattice parameters (Å, degrees): 4.2530 4.2530 4.2530 90.00 90.00 90.00
Space group Pm-3m (No. 221)
One atom of each set of equivalent atoms:
1 Ba 0.0000 0.0000 0.0000 [1 per cell]
2 B 0.5000 0.5000 0.5000 [1 per cell]
3 F 0.0000 0.5000 0.5000 [3 per cell]

---

Number 1: energy -5.67 eV per atom, uncorrected formation energy -24.8 kcal/mol of atoms. Number 2: energy -5.16 eV per atom, uncorrected formation energy -29.8 kcal/mol of atoms. Number 3: energy -3.26 eV per atom, uncorrected formation energy -9.2 kcal/mol of atoms. Number 4: energy -4.37 eV per atom, uncorrected formation energy -29.7 kcal/mol of atoms. Number 5: energy -4.51 eV per atom, uncorrected formation energy -32.8 kcal/mol of atoms. Number 6: energy -5.05 eV per atom, uncorrected formation energy -59.2 kcal/mol of atoms. Number 7: energy -5.68 eV per atom, uncorrected formation energy -66.9 kcal/mol of atoms. Number 8: energy -4.72 eV per atom, uncorrected formation energy -43.4 kcal/mol of atoms.